# 1
Material: La3Si4Ir2Pd2
Method: DFT, PBE-GGA
State: relaxed

```
La3Si4Ir2Pd2
1.0
-10.976 0.169 6.824
-11.925 4.240 2.624
10.326 -4.327 -6.459
La Si Pd Ir
3 4 2 2
direct
0.647 0.147 0.500
0.353 0.853 0.500
0.000 0.000 0.000
0.200 0.700 0.500
0.547 0.547 0.000
0.800 0.300 0.500
0.453 0.453 0.000
0.900 0.400 0.500
0.100 0.600 0.500
0.750 0.750 0.000
0.250 0.250 0.000
```

Summary:
Total magnetic moment (μB per formula unit): 0.017
Theoretical density (g/cm³): 8.47
Electronic total energy (eV per cell): -75.7

# 2
Material: La3Sn3IrPd2
Method: DFT, PBE-GGA
State: relaxed

```
La3Sn3IrPd2
1.0
7.672 0.000 0.000
-3.836 6.644 0.000
0.000 0.000 4.214
Pd Sn La Ir
2 3 3 1
direct
0.667 0.333 0.500
0.333 0.667 0.500
0.000 0.755 0.500
0.755 0.000 0.500
0.245 0.245 0.500
0.588 0.588 0.000
0.000 0.412 0.000
0.412 0.000 0.000
0.000 0.000 0.000
```

Summary:
Total magnetic moment (μB per formula unit): 0.001
Theoretical density (g/cm³): 9.11
Electronic total energy (eV per cell): -54.3

# 3
Material: La3Sn3Ir2Pd
Method: DFT, PBE-GGA
State: relaxed

```
La3Sn3Ir2Pd
1.0
7.597 0.000 0.000
-3.799 6.579 0.000
0.000 0.000 4.234
La Sn Pd Ir
3 3 1 2
direct
0.418 0.000 0.000
0.000 0.418 0.000
0.582 0.582 0.000
0.252 0.252 0.500
0.000 0.748 0.500
0.748 0.000 0.500
0.000 0.000 0.000
0.667 0.333 0.500
0.333 0.667 0.500
```

Summary:
Total magnetic moment (μB per formula unit): 0.002
Theoretical density (g/cm³): 9.92
Electronic total energy (eV per cell): -57.4

# 4
Material: LaPr2Zn3Ir2Pt
Method: DFT, PBE-GGA
State: relaxed

```
LaPr2Zn3Ir2Pt
1.0
4.035 0.000 0.000
0.000 6.358 3.698
0.000 -6.358 3.698
Ir Pr Zn La Pt
2 2 3 1 1
direct
0.500 0.338 0.667
0.500 0.667 0.338
0.000 0.415 0.999
0.000 0.999 0.415
0.500 0.758 0.001
0.500 0.239 0.239
0.500 0.001 0.758
0.000 0.582 0.582
0.000 0.001 0.001
```

Summary:
Total magnetic moment (μB per formula unit): 0.008
Energy relative to the elements (eV per formula unit): -6.243
Theoretical density (g/cm³): 10.47
Electronic total energy (eV per cell): -48.3